The following is a DFT calculation (PBE) of a geometry-optimized Zr2AlSi2 structure.

Cell and atoms, written as CIF:
```
data_Zr2AlSi2
_symmetry_space_group_name_H-M 'P b a m'
_symmetry_Int_Tables_number 55
_symmetry_space_group_name_Hall '-P 2 2ab'
_cell_length_a 6.7988
_cell_length_b 8.8134
_cell_length_c 3.0946
_cell_angle_alpha 90.00
_cell_angle_beta 90.00
_cell_angle_gamma 90.00
loop_
_atom_site_label
_atom_site_type_symbol
_atom_site_fract_x
_atom_site_fract_y
_atom_site_fract_z
Zr1 Zr 0.1238 0.1755 0.0000
Al1 Al 0.0000 0.5000 0.0000
Si1 Si 0.2068 0.9099 0.5000
```

Calculated values
Crystal system: orthorhombic


The following is a DFT calculation (PBE) of a geometry-optimized Zr2Al2Si structure.

Cell and atoms, written as CIF:
```
data_Zr2Al2Si
_symmetry_space_group_name_H-M 'P -3 m 1'
_symmetry_Int_Tables_number 164
_symmetry_space_group_name_Hall '-P 3 2"'
_cell_length_a 4.2590
_cell_length_b 4.2590
_cell_length_c 6.2041
_cell_angle_alpha 90.00
_cell_angle_beta 90.00
_cell_angle_gamma 120.00
loop_
_atom_site_label
_atom_site_type_symbol
_atom_site_fract_x
_atom_site_fract_y
_atom_site_fract_z
Zr1 Zr 0.3333 0.6667 0.1519
Al1 Al 0.3333 0.6667 0.6239
Si1 Si 0.0000 0.0000 0.5000
```

Calculated values
Crystal system: trigonal
Energy above the lowest structure with this stoichiometry (meV per atom): 673


Uncorrected formation energy (eV/f.u.)
-1.9 0.6